Entry from Alexandria: a relaxed LiCeInCo crystal (GGA-PBE).

magnetic moment: 0.001 μB/atom
density of states at the Fermi level: 26.86 states/eV per cell
E_form: -0.173 eV/atom

Cell: 6.640 6.640 6.640 Å, 90.00 90.00 90.00°
Space group F-43m (No. 216)
Unique sites:
Li (0.000, 0.000, 0.000) [4 per cell]
Ce (0.250, 0.250, 0.250) [4 per cell]
In (0.250, 0.250, 0.750) [4 per cell]
Co (0.000, 0.000, 0.500) [4 per cell]


Entry from Alexandria: a relaxed CeMgInCo crystal (GGA-PBE).

magnetic moment: 0.045 μB/atom
density of states at the Fermi level: 12.41 states/eV per cell
E_form: -0.081 eV/atom

Cell: 6.810 6.810 6.810 Å, 90.00 90.00 90.00°
Space group F-43m (No. 216)
Unique sites:
Ce (0.000, 0.000, 0.000) [4 per cell]
Mg (0.250, 0.250, 0.250) [4 per cell]
In (0.000, 0.000, 0.500) [4 per cell]
Co (0.250, 0.250, 0.750) [4 per cell]


Entry from Alexandria: a relaxed Ce6MnIn2Co crystal (GGA-PBE).

magnetic moment: 0.180 μB/atom
density of states at the Fermi level: 40.36 states/eV per cell
E_form: -0.208 eV/atom

Cell: 7.151 10.215 7.297 Å, 90.00 90.00 90.00°
Space group Imm2 (No. 44)
Unique sites:
Ce (0.000, 0.238, 0.000) [4 per cell]
Ce (0.222, 0.500, 0.261) [4 per cell]
Ce (0.243, 0.500, 0.763) [4 per cell]
Mn (0.000, 0.500, 0.954) [2 per cell]
In (0.000, 0.248, 0.506) [4 per cell]
Co (0.000, 0.000, 0.009) [2 per cell]


Entry from Alexandria: a relaxed Ce2PmInCo crystal (GGA-PBE).

magnetic moment: 0.142 μB/atom
density of states at the Fermi level: 9.06 states/eV per cell
E_form: -0.244 eV/atom

Cell: 4.963 4.963 5.602 Å, 90.00 90.00 90.00°
Space group P4/mmm (No. 123)
Unique sites:
Ce (0.000, 0.500, 0.000) [2 per cell]
Pm (0.000, 0.000, 0.500) [1 per cell]
In (0.500, 0.500, 0.500) [1 per cell]
Co (0.000, 0.000, 0.000) [1 per cell]


Entry from Alexandria: a relaxed CeInCoPt crystal (GGA-PBE).

magnetic moment: 0.133 μB/atom
density of states at the Fermi level: 21.24 states/eV per cell
E_form: -0.437 eV/atom

Cell: 6.754 6.754 6.754 Å, 90.00 90.00 90.00°
Space group F-43m (No. 216)
Unique sites:
Ce (0.000, 0.000, 0.000) [4 per cell]
In (0.000, 0.000, 0.500) [4 per cell]
Co (0.250, 0.250, 0.250) [4 per cell]
Pt (0.250, 0.250, 0.750) [4 per cell]


Entry from Alexandria: a relaxed CeInCoRh crystal (GGA-PBE).

magnetic moment: 0.125 μB/atom
density of states at the Fermi level: 18.38 states/eV per cell
E_form: -0.361 eV/atom

Cell: 6.645 6.645 6.645 Å, 90.00 90.00 90.00°
Space group F-43m (No. 216)
Unique sites:
Ce (0.000, 0.000, 0.000) [4 per cell]
In (0.000, 0.000, 0.500) [4 per cell]
Co (0.250, 0.250, 0.750) [4 per cell]
Rh (0.250, 0.250, 0.250) [4 per cell]


Entry from Alexandria: a relaxed CeInCoRu crystal (GGA-PBE).

magnetic moment: 0.000 μB/atom
density of states at the Fermi level: 8.02 states/eV per cell
E_form: -0.181 eV/atom

Cell: 6.600 6.600 6.600 Å, 90.00 90.00 90.00°
Space group F-43m (No. 216)
Unique sites:
Ce (0.000, 0.000, 0.000) [4 per cell]
In (0.000, 0.000, 0.500) [4 per cell]
Co (0.250, 0.250, 0.750) [4 per cell]
Ru (0.250, 0.250, 0.250) [4 per cell]


Entry from Alexandria: a relaxed Ce2SmInCo crystal (GGA-PBE).

magnetic moment: 0.132 μB/atom
density of states at the Fermi level: 8.80 states/eV per cell
E_form: -0.251 eV/atom

Cell: 4.958 4.958 5.579 Å, 90.00 90.00 90.00°
Space group P4/mmm (No. 123)
Unique sites:
Ce (0.000, 0.500, 0.000) [2 per cell]
Sm (0.000, 0.000, 0.500) [1 per cell]
In (0.500, 0.500, 0.500) [1 per cell]
Co (0.000, 0.000, 0.000) [1 per cell]


Entry from Alexandria: a relaxed Ce2ThInCo crystal (GGA-PBE).

magnetic moment: 0.232 μB/atom
density of states at the Fermi level: 11.52 states/eV per cell
E_form: -0.199 eV/atom

Cell: 5.104 5.104 5.346 Å, 90.00 90.00 90.00°
Space group P4/mmm (No. 123)
Unique sites:
Ce (0.000, 0.500, 0.000) [2 per cell]
Th (0.000, 0.000, 0.500) [1 per cell]
In (0.500, 0.500, 0.500) [1 per cell]
Co (0.000, 0.000, 0.000) [1 per cell]


Entry from Alexandria: a relaxed Ce3Y3In2Co crystal (GGA-PBE).

magnetic moment: 0.212 μB/atom
density of states at the Fermi level: 16.16 states/eV per cell
E_form: -0.271 eV/atom

Cell: 8.6604 8.6604 3.7146 Å, 90.00 90.00 120.00°
Space group P-62m (No. 189)
Unique sites:
Ce (0.0000, 0.7674, 0.0000) [3 per cell]
Y (0.0000, 0.4019, 0.5000) [3 per cell]
In (0.3333, 0.6667, 0.0000) [2 per cell]
Co (0.0000, 0.0000, 0.5000) [1 per cell]


Entry from Alexandria: a relaxed Ce2YInCo crystal (GGA-PBE).

magnetic moment: 0.092 μB/atom
density of states at the Fermi level: 7.69 states/eV per cell
E_form: -0.287 eV/atom

Cell: 4.935 4.935 5.513 Å, 90.00 90.00 90.00°
Space group P4/mmm (No. 123)
Unique sites:
Ce (0.000, 0.500, 0.000) [2 per cell]
Y (0.000, 0.000, 0.500) [1 per cell]
In (0.500, 0.500, 0.500) [1 per cell]
Co (0.000, 0.000, 0.000) [1 per cell]


Entry from Alexandria: a relaxed Ce8CoIr5 crystal (GGA-PBE).

magnetic moment: 0.080 μB/atom
density of states at the Fermi level: 59.19 states/eV per cell
E_form: -0.614 eV/atom

Cell: 8.617 8.617 8.716 Å, 90.00 90.00 90.00°
Space group I-4 (No. 82)
Unique sites:
Ce (0.058, 0.199, 0.187) [8 per cell]
Ce (0.060, 0.309, 0.567) [8 per cell]
Co (0.000, 0.500, 0.250) [2 per cell]
Ir (0.000, 0.000, 0.500) [2 per cell]
Ir (0.123, 0.249, 0.876) [8 per cell]


Entry from Alexandria: a relaxed CeCoIr crystal (GGA-PBE).

magnetic moment: 0.000 μB/atom
density of states at the Fermi level: 18.50 states/eV per cell
E_form: -0.549 eV/atom

Cell: 5.127 5.405 7.229 Å, 90.00 90.00 90.00°
Space group Imma (No. 74)
Unique sites:
Ce (0.000, 0.250, 0.120) [4 per cell]
Co (0.250, 0.250, 0.750) [4 per cell]
Ir (0.000, 0.000, 0.500) [4 per cell]